(i)
LaCrP2S (PBE, optimized geometry); magnetization = 0.495 μB per atom; V = 32.6 Å³/atom; ρ = 2.903 g/cm3
1.0
-1.554 -2.742 4.496
5.266 -0.793 1.336
-0.017 4.618 2.810
Cr S P La
1 1 2 1
direct
0.500 0.500 0.500
0.000 0.000 0.500
0.000 0.500 0.000
0.500 0.000 0.000
0.000 0.000 0.000

=====

(ii)
LaCrP2S (PBE, optimized geometry); magnetization = 0.246 μB per atom; V = 19.5 Å³/atom; ρ = 4.841 g/cm3
1.0
4.406 0.000 0.000
0.000 4.406 0.000
0.000 0.000 5.036
Cr S P La
1 1 2 1
direct
0.000 0.000 0.000
0.000 0.000 0.500
0.000 0.500 0.000
0.500 0.000 0.000
0.500 0.500 0.500

=====

Which structure is most stable? (ii), by 1475 meV per atom over the runner-up.

=====

(i)
LaCrPS2 (PBE, optimized geometry); magnetization = 0.445 μB per atom; V = 33.5 Å³/atom; ρ = 2.833 g/cm3
1.0
-1.551 5.194 -0.613
-1.537 -1.063 -5.125
-5.162 -1.326 1.823
Cr S P La
1 2 1 1
direct
0.500 0.500 0.500
0.000 0.500 0.000
0.500 0.000 0.000
0.000 0.000 0.500
0.000 0.000 0.000

=====

(ii)
LaCrPS2 (PBE, optimized geometry); magnetization = 0.403 μB per atom; V = 19.9 Å³/atom; ρ = 4.765 g/cm3
1.0
4.741 0.000 0.000
0.000 4.741 0.000
0.000 0.000 4.434
Cr S P La
1 2 1 1
direct
0.000 0.000 0.000
0.000 0.500 0.000
0.500 0.000 0.000
0.000 0.000 0.500
0.500 0.500 0.500

=====

Which structure is most stable? (ii), by 1288 meV per atom over the runner-up.

=====

(i)
LaCrPb3 (PBE, optimized geometry); magnetization = 0.225 μB per atom; V = 43.3 Å³/atom; ρ = 6.229 g/cm3
1.0
-2.958 -5.167 0.788
4.212 -1.820 3.875
-3.095 2.461 4.520
Pb Cr La
3 1 1
direct
0.000 0.500 0.000
0.000 0.000 0.500
0.500 0.000 0.000
0.500 0.500 0.500
0.000 0.000 0.000

=====

(ii)
LaCrPb3 (PBE, optimized geometry); magnetization = 0.524 μB per atom; V = 29.5 Å³/atom; ρ = 9.159 g/cm3
1.0
-2.309 2.720 -3.894
-2.823 -4.268 -1.307
-3.820 1.510 3.320
Pb Cr La
3 1 1
direct
0.000 0.500 0.000
0.000 0.000 0.500
0.500 0.000 0.000
0.000 0.000 0.000
0.500 0.500 0.500

=====

Which structure is most stable? (ii), by 1476 meV per atom over the runner-up.

=====

(i)
LaCr2Pb2 (PBE, optimized geometry); magnetization = 0.000 μB per atom; V = 21.6 Å³/atom; ρ = 10.121 g/cm3
1.0
-4.997 -0.372 -6.652
0.661 -8.302 -0.032
-2.475 -0.204 1.871
Pb Cr La
4 4 2
direct
0.353 0.853 0.000
0.853 0.647 0.000
0.647 0.147 0.000
0.147 0.353 0.000
0.141 0.641 0.500
0.641 0.859 0.500
0.859 0.359 0.500
0.359 0.141 0.500
0.000 0.000 0.000
0.500 0.500 0.000

=====

(ii)
LaCr2Pb2 (PBE, optimized geometry); magnetization = 0.000 μB per atom; V = 22.5 Å³/atom; ρ = 9.709 g/cm3
1.0
3.504 0.000 0.000
0.000 3.504 0.000
1.752 1.752 9.153
Pb Cr La
2 2 1
direct
0.371 0.371 0.259
0.629 0.629 0.741
0.750 0.250 0.500
0.250 0.750 0.500
0.000 0.000 0.000

=====

Which structure is most stable? (ii), by 386 meV per atom over the runner-up.

=====

(i)
LaCr2Pt (PBE, optimized geometry); magnetization = 0.000 μB per atom; V = 18.5 Å³/atom; ρ = 9.813 g/cm3
1.0
4.297 0.000 0.000
0.000 2.816 -0.258
0.000 0.568 6.073
Cr La Pt
2 1 1
direct
0.000 0.249 0.904
0.000 0.251 0.596
0.500 0.250 0.250
0.500 0.750 0.750

=====

(ii)
LaCr2Pt (PBE, optimized geometry); magnetization = 0.002 μB per atom; V = 21.1 Å³/atom; ρ = 8.602 g/cm3
1.0
-1.651 -1.801 -3.463
0.089 -4.214 -0.443
-5.340 -2.367 1.184
Cr La Pt
2 1 1
direct
0.020 0.020 0.939
0.696 0.696 0.912
0.500 0.500 0.501
0.284 0.284 0.148

=====

(iii)
LaCr2Pt (PBE, optimized geometry); magnetization = 2.241 μB per atom; V = 20.3 Å³/atom; ρ = 8.950 g/cm3
1.0
-1.039 -2.628 -4.442
2.663 -4.539 0.142
-3.399 2.316 3.287
Cr La Pt
2 1 1
direct
0.013 0.013 0.000
0.487 0.487 0.000
0.750 0.250 0.500
0.250 0.750 0.500

=====

Which structure is most stable? (ii), by 309 meV per atom over the runner-up.

=====

(i)
LaCr2Pt (PBE, optimized geometry); magnetization = 0.000 μB per atom; V = 16.4 Å³/atom; ρ = 11.073 g/cm3
1.0
0.374 -4.195 1.666
-2.317 -3.402 -1.889
2.182 -3.188 -2.363
Cr Pt La
2 1 1
direct
0.250 0.250 0.250
0.750 0.750 0.750
0.500 0.500 0.500
0.000 0.000 0.000

=====

(ii)
LaCr2Pt (PBE, optimized geometry); magnetization = 0.317 μB per atom; V = 19.8 Å³/atom; ρ = 9.198 g/cm3
1.0
-0.124 1.967 2.864
-0.268 -2.863 1.955
6.517 -0.285 0.478
Cr La Pt
2 1 1
direct
0.000 0.000 0.898
0.000 0.000 0.602
0.500 0.500 0.250
0.500 0.500 0.750

=====

(iii)
LaCr2Pt (PBE, optimized geometry); magnetization = 2.045 μB per atom; V = 20.1 Å³/atom; ρ = 9.046 g/cm3
1.0
4.205 0.000 0.000
0.000 4.212 0.000
0.000 0.000 4.539
Cr La Pt
2 1 1
direct
0.000 0.000 0.000
0.500 0.500 0.000
0.500 0.000 0.500
0.000 0.500 0.500

=====

(iv)
LaCr2Pt (PBE, optimized geometry); magnetization = 0.158 μB per atom; V = 19.6 Å³/atom; ρ = 9.290 g/cm3
1.0
-2.649 4.269 -0.014
-2.446 -0.322 -4.377
0.151 -3.461 3.638
Cr La Pt
2 1 1
direct
0.000 0.000 0.000
0.750 0.250 0.500
0.500 0.500 0.000
0.250 0.750 0.500

=====

Which structure is most stable? (iv), by 110 meV per atom over the runner-up.